Record 1
A plane-wave DFT calculation with PBE was carried out for a geometry-optimized Al3Ag structure.

abc: 5.1635 5.1635 5.1635
angles: 90.00 90.00 90.00
Last column: nearest neighbours and their distance in Å.
Element x y z (fractional)
Al (0.7500, 0.5000, 0.0000)  2 Al 2.58, 4 Ag 2.89
Al (0.2500, 0.5000, 0.0000)  2 Al 2.58, 4 Ag 2.89
Al (0.0000, 0.7500, 0.5000)  2 Al 2.58, 4 Ag 2.89
Al (0.0000, 0.2500, 0.5000)  2 Al 2.58, 4 Ag 2.89
Al (0.5000, 0.0000, 0.2500)  2 Al 2.58, 4 Ag 2.89
Al (0.5000, 0.0000, 0.7500)  2 Al 2.58, 4 Ag 2.89
Ag (0.0000, 0.0000, 0.0000)  12 Al 2.89
Ag (0.5000, 0.5000, 0.5000)  12 Al 2.89

Calculated values
SG: Pm-3n (223)
Energy of formation from the pure elements in eV per atom: 0.07
VASP energy in eV/f.u.: -13.815
DOS(E_F) in states/eV per atom: 0.476

---

Record 2
A plane-wave DFT calculation with PBE was carried out for a geometry-optimized AlAg structure.

abc: 2.9744 17.8603 2.9744
angles: 85.22 120.00 94.78
Last column: nearest neighbours and their distance in Å.
Element x y z (fractional)
Ag (0.9982, 0.9945, 0.0018)  3 Al 2.76, 9 Ag 2.97
Ag (0.3768, 0.1305, 0.6232)  3 Al 2.76, 9 Ag 2.97
Ag (0.1256, 0.3769, 0.8744)  6 Al 2.78-2.81, 6 Ag 2.97
Ag (0.2494, 0.7481, 0.7506)  6 Al 2.78-2.81, 6 Ag 2.97
Al (0.7507, 0.2521, 0.2493)  6 Ag 2.76-2.81, 6 Al 2.97
Al (0.5000, 0.5000, 0.5000)  3 Ag 2.78, 9 Al 2.81-2.97
Al (0.8750, 0.6250, 0.1250)  3 Ag 2.78, 9 Al 2.81-2.97
Al (0.6243, 0.8729, 0.3757)  6 Ag 2.76-2.81, 6 Al 2.97

Calculated values
SG: R-3m (166)
Energy of formation from the pure elements in eV per atom: -0.03
VASP energy in eV/f.u.: -6.652
DOS(E_F) in states/eV per atom: 0.242

---

Record 3
A plane-wave DFT calculation with PBE was carried out for a geometry-optimized Al5Ag6 structure.

abc: 7.4498 6.3971 5.2495
angles: 79.58 71.90 54.39
Last column: nearest neighbours and their distance in Å.
Element x y z (fractional)
Al (0.5000, 0.0000, 0.5000)  6 Al 2.76-2.96, 6 Ag 2.79-2.82
Al (0.3691, 0.2619, 0.0000)  5 Al 2.72-2.97, 6 Ag 2.75-2.77
Al (0.6309, 0.7381, 0.0000)  5 Al 2.72-2.97, 6 Ag 2.75-2.77
Al (0.2348, 0.5305, 0.5000)  6 Ag 2.70-2.82, 3 Al 2.76-2.97
Al (0.7652, 0.4695, 0.5000)  6 Ag 2.70-2.82, 3 Al 2.76-2.97
Ag (0.8136, 0.0000, 0.6821)  5 Al 2.77-2.82, 5 Ag 2.84-3.04
Ag (0.1864, 0.0000, 0.3179)  5 Al 2.77-2.82, 5 Ag 2.84-3.04
Ag (0.3310, 0.7169, 0.8231)  5 Al 2.70-2.82, 3 Ag 2.86-2.98
Ag (0.9521, 0.7169, 0.1769)  5 Al 2.70-2.82, 3 Ag 2.86-2.98
Ag (0.6690, 0.2831, 0.1769)  5 Al 2.70-2.82, 3 Ag 2.86-2.98
Ag (0.0479, 0.2831, 0.8231)  5 Al 2.70-2.82, 3 Ag 2.86-2.98

Calculated values
SG: C2/m (12)
Energy of formation from the pure elements in eV per atom: 0.02
ΔE to the lowest computed polymorph in meV per atom: 46
VASP energy in eV/f.u.: -35.622
DOS(E_F) in states/eV per atom: 0.293

---

Record 4
A plane-wave DFT calculation with PBE was carried out for a geometry-optimized Al3Ag5 structure.

abc: 4.6544 4.9397 6.9009
angles: 110.97 109.71 90.00
Last column: nearest neighbours and their distance in Å.
Element x y z (fractional)
Al (0.8719, 0.8719, 0.7437)  7 Ag 2.74-3.02, 2 Al 2.91
Al (0.0000, 0.5000, 0.0000)  6 Ag 2.74-3.02, 4 Al 2.91
Al (0.1281, 0.1281, 0.2563)  7 Ag 2.74-3.02, 2 Al 2.91
Ag (0.2514, 0.7514, 0.5027)  5 Al 2.74-3.02, 5 Ag 2.81-2.99
Ag (0.3791, 0.3791, 0.7582)  3 Al 2.74-3.02, 7 Ag 2.81-2.91
Ag (0.5000, 0.0000, 0.0000)  4 Al 2.79, 6 Ag 2.87-2.99
Ag (0.6209, 0.6209, 0.2418)  3 Al 2.74-3.02, 7 Ag 2.81-2.91
Ag (0.7486, 0.2486, 0.4973)  5 Al 2.74-3.02, 5 Ag 2.81-2.99

Calculated values
SG: Immm (71)
Energy of formation from the pure elements in eV per atom: -0.01
ΔE to the lowest computed polymorph in meV per atom: 44
VASP energy in eV/f.u.: -25.532
DOS(E_F) in states/eV per atom: 0.213